(1)
A geometry-optimized LaNd3N4 structure. Source: the Alexandria database, functional PBE.

- energy above the lowest structure with this stoichiometry (eV per atom) = 0.0000
- total magnetic moment (Bohr magnetons per cell) = 0.0
- VASP energy (eV for the cell shown) = -126.589
- volume (Å³ per cell) = 281
- space-group type = Cmmm (65)

```
LaNd3N4
1.0
7.359 0.000 0.000
0.000 10.399 0.000
0.000 0.000 3.678
La Nd N
2 6 8
direct
0.000 0.000 0.000
0.500 0.500 0.000
0.000 0.500 0.000
0.250 0.250 0.500
0.250 0.750 0.500
0.500 0.000 0.000
0.750 0.250 0.500
0.750 0.750 0.500
0.000 0.251 0.000
0.000 0.749 0.000
0.247 0.500 0.500
0.253 0.000 0.500
0.500 0.249 0.000
0.500 0.751 0.000
0.747 0.000 0.500
0.753 0.500 0.500
```

(2)
A geometry-optimized La4SiAs2Se structure. Source: the Alexandria database, functional PBE.

- total magnetic moment (Bohr magnetons per cell) = 0.0
- VASP energy (eV for the cell shown) = -49.645
- volume (Å³ per cell) = 236
- space-group type = P2/m (10)

```
La4SiAs2Se
1.0
7.573 0.000 0.000
0.000 4.359 0.000
-2.507 0.000 7.151
La Si As Se
4 1 2 1
direct
0.246 0.000 0.243
0.249 0.500 0.753
0.751 0.500 0.247
0.754 0.000 0.757
0.500 0.000 0.000
0.000 0.000 0.500
0.000 0.500 0.000
0.500 0.500 0.500
```

(3)
A geometry-optimized Hf2GePt structure. Source: the Alexandria database, functional PBE.

- total magnetic moment (Bohr magnetons per cell) = 0.0
- VASP energy (eV for the cell shown) = -128.931
- volume (Å³ per cell) = 324
- energy of formation from the pure elements (meV per atom) = -416.9
- space-group type = I-42d (122)

```
Hf2GePt
1.0
7.306 0.000 0.000
0.000 7.306 0.000
0.000 0.000 6.063
Hf Ge Pt
8 4 4
direct
0.241 0.250 0.125
0.250 0.741 0.375
0.250 0.759 0.875
0.259 0.250 0.625
0.741 0.750 0.625
0.750 0.241 0.875
0.750 0.259 0.375
0.759 0.750 0.125
0.000 0.000 0.500
0.000 0.500 0.750
0.500 0.000 0.250
0.500 0.500 0.000
0.000 0.000 0.000
0.000 0.500 0.250
0.500 0.000 0.750
0.500 0.500 0.500
```

(4)
A geometry-optimized KBe4Rh structure. Source: the Alexandria database, functional PBE.

- total magnetic moment (Bohr magnetons per cell) = 0.0
- VASP energy (eV for the cell shown) = -20.023
- volume (Å³ per cell) = 76
- energy of formation from the pure elements (meV per atom) = 555.2
- space-group type = F-43m (216)

```
KBe4Rh
1.0
0.000 3.363 3.363
3.363 0.000 3.363
3.363 3.363 0.000
K Be Rh
1 4 1
direct
0.000 0.000 0.000
0.380 0.380 0.380
0.380 0.380 0.860
0.380 0.860 0.380
0.860 0.380 0.380
0.750 0.750 0.750
```

(5)
A geometry-optimized LiAu2 structure. Source: the Alexandria database, functional PBE.

- total magnetic moment (Bohr magnetons per cell) = 0.0
- VASP energy (eV for the cell shown) = -37.687
- volume (Å³ per cell) = 201
- energy of formation from the pure elements (meV per atom) = -317.8
- space-group type = Cmcm (63)

```
LiAu2
1.0
2.880 0.000 0.000
0.000 14.804 0.000
0.000 0.000 4.708
Li Au
4 8
direct
0.000 0.216 0.250
0.000 0.784 0.750
0.500 0.284 0.750
0.500 0.716 0.250
0.000 0.126 0.750
0.000 0.441 0.750
0.000 0.559 0.250
0.000 0.874 0.250
0.500 0.059 0.250
0.500 0.374 0.250
0.500 0.626 0.750
0.500 0.941 0.750
```

(6)
A geometry-optimized Ce2GaSi3Pt4 structure. Source: the Alexandria database, functional PBE.

- total magnetic moment (Bohr magnetons per cell) = 0.5
- VASP energy (eV for the cell shown) = -65.996
- volume (Å³ per cell) = 181
- space-group type = P-4m2 (115)

```
Ce2GaSi3Pt4
1.0
4.259 0.000 0.000
0.000 4.259 0.000
0.000 0.000 9.988
Ce Ga Si Pt
2 1 3 4
direct
0.000 0.500 0.249
0.500 0.000 0.751
0.500 0.500 0.000
0.000 0.000 0.000
0.000 0.500 0.629
0.500 0.000 0.371
0.000 0.000 0.500
0.000 0.500 0.868
0.500 0.000 0.132
0.500 0.500 0.500
```

(7)
A geometry-optimized Sr2Ni4Sn structure. Source: the Alexandria database, functional PBE.

- total magnetic moment (Bohr magnetons per cell) = 0.0
- VASP energy (eV for the cell shown) = -55.449
- volume (Å³ per cell) = 344
- energy of formation from the pure elements (meV per atom) = 395.4
- space-group type = I4/mmm (139)

```
Sr2Ni4Sn
1.0
4.753 0.000 0.000
0.000 4.753 0.000
0.000 0.000 15.218
Sr Ni Sn
4 8 2
direct
0.000 0.000 0.139
0.000 0.000 0.861
0.500 0.500 0.361
0.500 0.500 0.639
0.000 0.000 0.339
0.000 0.000 0.661
0.000 0.500 0.000
0.000 0.500 0.500
0.500 0.000 0.000
0.500 0.000 0.500
0.500 0.500 0.161
0.500 0.500 0.839
0.000 0.000 0.500
0.500 0.500 0.000
```

(8)
A geometry-optimized Cd2Si4Sn structure. Source: the Alexandria database, functional PBE.

- total magnetic moment (Bohr magnetons per cell) = 0.0
- VASP energy (eV for the cell shown) = -40.834
- volume (Å³ per cell) = 364
- space-group type = I4/mmm (139)

```
Cd2Si4Sn
1.0
5.188 0.000 0.000
0.000 5.188 0.000
0.000 0.000 13.522
Cd Si Sn
4 8 2
direct
0.000 0.000 0.110
0.000 0.000 0.890
0.500 0.500 0.390
0.500 0.500 0.610
0.000 0.000 0.299
0.000 0.000 0.701
0.000 0.500 0.000
0.000 0.500 0.500
0.500 0.000 0.000
0.500 0.000 0.500
0.500 0.500 0.201
0.500 0.500 0.799
0.000 0.000 0.500
0.500 0.500 0.000
```

(9)
A geometry-optimized PuNbCd structure. Source: the Alexandria database, functional PBE.

- total magnetic moment (Bohr magnetons per cell) = 0.0
- VASP energy (eV for the cell shown) = -97.791
- volume (Å³ per cell) = 244
- energy of formation from the pure elements (meV per atom) = 289.7
- space-group type = C2/m (12)

```
PuNbCd
1.0
5.096 0.000 0.000
0.000 4.055 0.000
-0.465 0.000 11.801
Pu Nb Cd
4 4 4
direct
0.196 0.000 0.452
0.304 0.500 0.548
0.696 0.500 0.452
0.804 0.000 0.548
0.217 0.500 0.273
0.283 0.000 0.727
0.717 0.000 0.273
0.783 0.500 0.727
0.216 0.000 0.094
0.284 0.500 0.906
0.716 0.500 0.094
0.784 0.000 0.906
```

(10)
A geometry-optimized Ba2CuSiPd6 structure. Source: the Alexandria database, functional PBE.

- total magnetic moment (Bohr magnetons per cell) = 0.0
- VASP energy (eV for the cell shown) = -49.525
- volume (Å³ per cell) = 218
- space-group type = P-1 (2)

```
Ba2CuSiPd6
1.0
5.767 0.000 0.000
2.882 5.964 0.000
2.880 -0.888 6.330
Ba Cu Si Pd
2 1 1 6
direct
0.048 0.219 0.185
0.952 0.781 0.815
0.500 0.500 0.000
0.500 0.000 0.500
0.013 0.253 0.709
0.376 0.373 0.377
0.475 0.748 0.290
0.525 0.252 0.710
0.624 0.627 0.623
0.987 0.747 0.291
```

(11)
A geometry-optimized ReSi2Hg2 structure. Source: the Alexandria database, functional PBE.

- energy above the lowest structure with this stoichiometry (eV per atom) = 0.4532
- total magnetic moment (Bohr magnetons per cell) = 0.0
- VASP energy (eV for the cell shown) = -37.488
- volume (Å³ per cell) = 217
- space-group type = I4/mmm (139)

```
ReSi2Hg2
1.0
3.604 0.000 0.000
0.000 3.604 0.000
0.000 0.000 16.678
Re Si Hg
2 4 4
direct
0.000 0.000 0.000
0.500 0.500 0.500
0.000 0.000 0.428
0.000 0.000 0.572
0.500 0.500 0.072
0.500 0.500 0.928
0.000 0.500 0.250
0.000 0.500 0.750
0.500 0.000 0.250
0.500 0.000 0.750
```

(12)
A geometry-optimized Al6Cr2Si structure. Source: the Alexandria database, functional PBE.

- total magnetic moment (Bohr magnetons per cell) = 2.5
- VASP energy (eV for the cell shown) = -47.553
- volume (Å³ per cell) = 130
- space-group type = C2/m (12)

```
Al6Cr2Si
1.0
6.142 -1.860 0.000
6.142 1.860 0.000
-2.268 0.000 5.701
Al Cr Si
6 2 1
direct
0.103 0.103 0.150
0.221 0.221 0.843
0.331 0.331 0.500
0.669 0.669 0.500
0.779 0.779 0.157
0.897 0.897 0.850
0.450 0.450 0.218
0.550 0.550 0.782
0.000 0.000 0.500
```

(13)
A geometry-optimized BaCa2Sc structure. Source: the Alexandria database, functional PBE.

- energy above the lowest structure with this stoichiometry (eV per atom) = 0.0837
- total magnetic moment (Bohr magnetons per cell) = 0.0
- VASP energy (eV for the cell shown) = -11.209
- volume (Å³ per cell) = 159
- energy of formation from the pure elements (meV per atom) = 262.2
- space-group type = Pmmm (47)

```
BaCa2Sc
1.0
4.304 0.000 0.000
0.000 6.044 0.000
0.000 0.000 6.097
Ba Ca Sc
1 2 1
direct
0.000 0.000 0.000
0.000 0.500 0.500
0.500 0.000 0.500
0.500 0.500 0.000
```

(14)
A geometry-optimized AcPrHo2 structure. Source: the Alexandria database, functional PBE.

- energy above the lowest structure with this stoichiometry (eV per atom) = 0.0201
- total magnetic moment (Bohr magnetons per cell) = 0.0
- VASP energy (eV for the cell shown) = -53.368
- volume (Å³ per cell) = 427
- energy of formation from the pure elements (meV per atom) = 63.5
- space-group type = R3m (160)

```
AcPrHo2
1.0
3.713 0.000 0.000
-1.856 3.215 0.000
0.000 0.000 35.740
Ac Pr Ho
3 3 6
direct
0.000 0.000 0.000
0.333 0.667 0.667
0.667 0.333 0.333
0.000 0.000 0.166
0.333 0.667 0.833
0.667 0.333 0.499
0.000 0.000 0.580
0.000 0.000 0.752
0.333 0.667 0.247
0.333 0.667 0.419
0.667 0.333 0.086
0.667 0.333 0.914
```

(15)
A geometry-optimized Mn2NiOs structure. Source: the Alexandria database, functional PBE.

- total magnetic moment (Bohr magnetons per cell) = 7.5
- VASP energy (eV for the cell shown) = -104.055
- volume (Å³ per cell) = 146
- energy of formation from the pure elements (meV per atom) = 166.3
- space-group type = R-3m (166)

```
Mn2NiOs
1.0
2.605 0.000 0.000
-1.302 2.256 0.000
0.000 0.000 24.905
Mn Ni Os
6 3 3
direct
0.000 0.000 0.248
0.000 0.000 0.752
0.333 0.667 0.418
0.333 0.667 0.915
0.667 0.333 0.085
0.667 0.333 0.582
0.000 0.000 0.500
0.333 0.667 0.167
0.667 0.333 0.833
0.000 0.000 0.000
0.333 0.667 0.667
0.667 0.333 0.333
```

(16)
A geometry-optimized CuAg5Au8 structure. Source: the Alexandria database, functional PBE.

- total magnetic moment (Bohr magnetons per cell) = 0.0
- VASP energy (eV for the cell shown) = -43.343
- volume (Å³ per cell) = 263
- energy of formation from the pure elements (meV per atom) = 87.8
- space-group type = I-4 (82)

```
CuAg5Au8
1.0
-4.015 4.015 4.082
4.015 -4.015 4.082
4.015 4.015 -4.082
Cu Ag Au
1 5 8
direct
0.000 0.000 0.000
0.210 0.530 0.907
0.250 0.750 0.500
0.470 0.377 0.680
0.623 0.303 0.093
0.697 0.790 0.320
0.139 0.071 0.724
0.346 0.415 0.276
0.408 0.014 0.264
0.585 0.861 0.932
0.750 0.144 0.736
0.856 0.592 0.606
0.929 0.654 0.068
0.986 0.250 0.394
```

(17)
A geometry-optimized Pa4IrPtS2 structure. Source: the Alexandria database, functional PBE.

- total magnetic moment (Bohr magnetons per cell) = 0.0
- VASP energy (eV for the cell shown) = -70.265
- volume (Å³ per cell) = 179
- space-group type = P2/m (10)

```
Pa4IrPtS2
1.0
6.667 0.000 0.000
0.000 3.842 0.000
-2.216 0.000 6.991
Pa Ir Pt S
4 1 1 2
direct
0.242 0.000 0.244
0.245 0.500 0.753
0.755 0.500 0.247
0.758 0.000 0.756
0.000 0.000 0.500
0.500 0.500 0.500
0.000 0.500 0.000
0.500 0.000 0.000
```

(18)
A geometry-optimized CeTmS2N structure. Source: the Alexandria database, functional PBE.

- total magnetic moment (Bohr magnetons per cell) = 0.0
- VASP energy (eV for the cell shown) = -72.151
- volume (Å³ per cell) = 207
- space-group type = P4/nmm (129)

```
CeTmS2N
1.0
3.875 0.000 0.000
0.000 3.875 0.000
0.000 0.000 13.785
Ce Tm S N
2 2 4 2
direct
0.250 0.250 0.087
0.750 0.750 0.913
0.250 0.250 0.620
0.750 0.750 0.380
0.250 0.250 0.410
0.250 0.250 0.800
0.750 0.750 0.200
0.750 0.750 0.590
0.250 0.750 0.000
0.750 0.250 0.000
```

(19)
A geometry-optimized ScNiAsSe2 structure. Source: the Alexandria database, functional PBE.

- energy above the lowest structure with this stoichiometry (eV per atom) = 0.5697
- total magnetic moment (Bohr magnetons per cell) = 1.1
- VASP energy (eV for the cell shown) = -21.931
- volume (Å³ per cell) = 132
- space-group type = P4/mmm (123)

```
ScNiAsSe2
1.0
5.072 0.000 0.000
0.000 5.072 0.000
0.000 0.000 5.120
Sc Ni As Se
1 1 1 2
direct
0.000 0.000 0.000
0.500 0.500 0.500
0.000 0.000 0.500
0.000 0.500 0.000
0.500 0.000 0.000
```

(20)
A geometry-optimized PrNd6Al2 structure. Source: the Alexandria database, functional PBE.

- total magnetic moment (Bohr magnetons per cell) = 0.0
- VASP energy (eV for the cell shown) = -42.062
- volume (Å³ per cell) = 285
- energy of formation from the pure elements (meV per atom) = -132.3
- space-group type = C2/m (12)

```
PrNd6Al2
1.0
6.479 -1.919 0.000
6.479 1.919 0.000
-4.024 0.000 11.449
Pr Nd Al
1 6 2
direct
0.000 0.000 0.000
0.023 0.023 0.326
0.311 0.311 0.125
0.312 0.312 0.413
0.688 0.688 0.587
0.689 0.689 0.875
0.977 0.977 0.674
0.349 0.349 0.793
0.651 0.651 0.207
```

| no. | DOS at the Fermi energy (states/eV/atom) |
| --- | --- |
| 1 | 0.1030 |
| 2 | 0.1724 |
| 3 | 0.7855 |
| 4 | 0.8509 |
| 5 | 0.1477 |
| 6 | 1.1165 |
| 7 | 1.2915 |
| 8 | 0.7280 |
| 9 | 1.3593 |
| 10 | 0.3679 |
| 11 | 0.8351 |
| 12 | 0.4838 |
| 13 | 1.5111 |
| 14 | 1.4331 |
| 15 | 1.1671 |
| 16 | 0.3100 |
| 17 | 1.1911 |
| 18 | 0.4452 |
| 19 | 1.8776 |
| 20 | 1.1021 |